# AcCe2Ag, relaxed, DFT PBE-GGA
# - Polymorph energy (0 for the lowest one): 0.536 eV/f.u.
# - Formation energy from the elements: 0.20 eV/atom
# - VASP energy: -4.51 eV/atom
# - Calculated density: 8.54 g/cm³
# - Total magnetic moment: 0.5859 μB/atom
data_AcCe2Ag
_chemical_formula_sum 'Ac1 Ce2 Ag1'
_space_group_name_H-M_alt 'P 1'
_space_group_IT_number 1
_cell_length_a 3.595
_cell_length_b 5.767
_cell_length_c 5.767
_cell_angle_alpha 90.00
_cell_angle_beta 90.00
_cell_angle_gamma 90.00
loop_
_space_group_symop_operation_xyz
'x,y,z'
loop_
_atom_site_label
_atom_site_type_symbol
_atom_site_fract_x
_atom_site_fract_y
_atom_site_fract_z
Ac1 Ac 0.500 0.500 0.500
Ag1 Ag 0.500 0.000 0.000
Ce1 Ce 0.000 0.000 0.500
Ce2 Ce 0.000 0.500 0.000